# 1
Material: Sr2LiZn2
Method: DFT, PBE-GGA
State: relaxed

The polymorph energy (0 for the lowest one) is 4 meV per atom. The calculation puts the magnetization at 0.0 Bohr magnetons per cell. The value obtained for the energy of formation is -0.74 eV per formula unit. The density of states at the Fermi level is 6.88 states/eV/cell.

Cell lengths 6.4162, 6.4162, 8.5916 Å; angles 101.92, 101.92, 58.90 degrees
Fractional positions:
Sr 0.0003 0.2913 0.1443
Sr 0.9997 0.7087 0.8557
Sr 0.2913 0.0003 0.6443
Sr 0.7087 0.9997 0.3557
Li 0.3802 0.6198 0.2500
Li 0.6198 0.3802 0.7500
Zn 0.2106 0.5008 0.4986
Zn 0.4992 0.7894 0.0014
Zn 0.5008 0.2106 0.9986
Zn 0.7894 0.4992 0.5014

---

# 2
Material: NaSF2
Method: DFT, PBE-GGA
State: relaxed

The polymorph energy (0 for the lowest one) is 0 meV per atom. The calculation puts the magnetization at 1.2 Bohr magnetons per cell. The density of states at the Fermi level is 4.78 states/eV/cell.

Cell lengths 3.3477, 3.3477, 18.7174 Å; angles 90.00, 90.00, 120.00 degrees
Fractional positions:
Na 0.0000 0.0000 0.0000
Na 0.3333 0.6667 0.6667
Na 0.6667 0.3333 0.3333
S 0.0000 0.0000 0.5000
S 0.3333 0.6667 0.1667
S 0.6667 0.3333 0.8333
F 0.0000 0.0000 0.3980
F 0.0000 0.0000 0.6020
F 0.3333 0.6667 0.0647
F 0.3333 0.6667 0.2687
F 0.6667 0.3333 0.7313
F 0.6667 0.3333 0.9353

---

# 3
Material: TaCdRh
Method: DFT, PBE-GGA
State: relaxed

The calculation puts the magnetization at 0.0 Bohr magnetons per cell. The value obtained for the energy of formation is -0.37 eV per formula unit. The density of states at the Fermi level is 3.96 states/eV/cell.

Cell lengths 3.0448, 3.0448, 11.4836 Å; angles 90.00, 90.00, 90.00 degrees
Fractional positions:
Ta 0.0000 0.0000 0.0000
Ta 0.5000 0.5000 0.5000
Cd 0.0000 0.0000 0.6922
Cd 0.5000 0.5000 0.1922
Rh 0.0000 0.0000 0.3667
Rh 0.5000 0.5000 0.8667

---

# 4
Material: Sr2ScPb
Method: DFT, PBE-GGA
State: relaxed

The calculation puts the magnetization at 0.5 Bohr magnetons per cell. The value obtained for the energy of formation is -0.43 eV per formula unit. The density of states at the Fermi level is 3.86 states/eV/cell.

Cell lengths 5.0997, 5.0997, 5.1578 Å; angles 90.00, 90.00, 90.00 degrees
Fractional positions:
Sr 0.0000 0.5000 0.0000
Sr 0.5000 0.0000 0.0000
Sc 0.0000 0.0000 0.5000
Pb 0.5000 0.5000 0.5000

---

# 5
Material: La5Sm12Er2
Method: DFT, PBE-GGA
State: relaxed

The polymorph energy (0 for the lowest one) is 0 meV per atom. The calculation puts the magnetization at 0.0 Bohr magnetons per cell. The value obtained for the energy of formation is 2.35 eV per formula unit. The density of states at the Fermi level is 31.75 states/eV/cell.

Cell lengths 13.0869, 13.0869, 13.0869 Å; angles 156.17, 132.54, 53.78 degrees
Fractional positions:
La 0.0000 0.0000 0.0000
La 0.1976 0.1976 0.0000
La 0.3006 0.8006 0.5000
La 0.6994 0.1994 0.5000
La 0.8024 0.8024 0.0000
Sm 0.0665 0.3065 0.7600
Sm 0.1031 0.6031 0.5000
Sm 0.1895 0.9148 0.2747
Sm 0.3600 0.0852 0.2747
Sm 0.4190 0.4190 0.0000
Sm 0.4535 0.6935 0.7600
Sm 0.5465 0.3065 0.2400
Sm 0.5810 0.5810 0.0000
Sm 0.6400 0.9148 0.7253
Sm 0.8105 0.0852 0.7253
Sm 0.8969 0.3969 0.5000
Sm 0.9335 0.6935 0.2400
Er 0.2155 0.5000 0.7155
Er 0.7845 0.5000 0.2845

---

# 6
Material: LiFeNi2
Method: DFT, PBE-GGA
State: relaxed

The calculation puts the magnetization at 16.3 Bohr magnetons per cell. The value obtained for the energy of formation is 1.47 eV per formula unit. The density of states at the Fermi level is 10.11 states/eV/cell.

Cell lengths 6.3534, 6.3534, 4.9480 Å; angles 90.00, 90.00, 90.00 degrees
Fractional positions:
Li 0.0000 0.0000 0.0000
Li 0.0000 0.5000 0.2500
Li 0.5000 0.0000 0.7500
Li 0.5000 0.5000 0.5000
Fe 0.0000 0.0000 0.5000
Fe 0.0000 0.5000 0.7500
Fe 0.5000 0.0000 0.2500
Fe 0.5000 0.5000 0.0000
Ni 0.2388 0.2500 0.6250
Ni 0.2500 0.7388 0.8750
Ni 0.2500 0.7612 0.3750
Ni 0.2612 0.2500 0.1250
Ni 0.7388 0.7500 0.1250
Ni 0.7500 0.2388 0.3750
Ni 0.7500 0.2612 0.8750
Ni 0.7612 0.7500 0.6250